Material: NaErNiF6
Method: DFT, PBE with a Hubbard U
State: optimized geometry

Output
Fermi-level density of states ... 0.00 states/eV/f.u.
Total DFT energy (no corrections) ... -96.1 eV/cell
Volume ... 129.36 Å³/f.u.

abc: 5.5756 5.5756 9.6100
angles: 90.00 90.00 120.00
Space group P-31c (No. 163)
One atom of each set of equivalent atoms:
Na1 0.0000 0.0000 0.0000 x2
Er1 0.3333 0.6667 0.2500 x2
Ni1 0.3333 0.6667 0.7500 x2
F1 0.0184 0.3652 0.6362 x12